(1)
Material: TcPF2
Method: DFT, PBE-GGA
State: optimized geometry

Energy, eV per atom: -5.48
Crystal system: tetragonal
Relative energy among the computed polymorphs, meV per atom: 86
Mass density, Mg/m³: 5.6
Formation energy from raw total energies, meV per atom: -596

Unit cell a=8.307 b=8.307 c=8.307 alpha=155.34 beta=155.34 gamma=35.15
Fractional positions:
Tc 0.000 0.000 0.000
Tc 0.750 0.250 0.500
P 0.250 0.750 0.500
P 0.500 0.500 0.000
F 0.115 0.625 0.990
F 0.375 0.365 0.490
F 0.635 0.125 0.010
F 0.875 0.885 0.510

(2)
Material: H2OsPt
Method: DFT, PBE-GGA
State: optimized geometry

Energy, eV per atom: -5.04
Crystal system: cubic
Relative energy among the computed polymorphs, meV per atom: 460
Mass density, Mg/m³: 17.0

Unit cell a=3.766 b=3.766 c=3.766 alpha=60.00 beta=60.00 gamma=60.00
Fractional positions:
H 0.250 0.250 0.250
H 0.750 0.750 0.750
Os 0.000 0.000 0.000
Pt 0.500 0.500 0.500